Material: Ca2CeCd8
Method: DFT, GGA-PBE
State: optimized geometry

a b c (Å): 9.090 9.090 5.434
angles (deg): 107.34 107.34 125.13
Atoms (fractional coordinates):
Ca (0.188, 0.812, 0.000)
Ca (0.812, 0.188, 0.000)
Ce (0.500, 0.500, 0.500)
Cd (0.001, 0.001, 0.249)
Cd (0.141, 0.400, 0.769)
Cd (0.296, 0.704, 0.500)
Cd (0.400, 0.141, 0.769)
Cd (0.600, 0.859, 0.231)
Cd (0.704, 0.296, 0.500)
Cd (0.859, 0.600, 0.231)
Cd (0.999, 0.999, 0.751)

Computed properties:
Total DFT energy (no corrections) ... -1.79 eV per atom
E_form ... -0.224 eV/atom
D(E_F) ... 12.8 states/eV/f.u.
Space-group type ... No. 12